Below is an optimized crystal structure of Li2MnPbO4, with properties calculated at the PBE+U level.

Summary:
Calculated total energy: -5.823 eV per atom
Space-group type: No. 10

Unit cell a=5.383 b=3.247 c=5.549 alpha=90.00 beta=109.53 gamma=90.00
Atoms (fractional coordinates):
Li (0.000, 0.000, 0.000)
Li (0.000, 0.500, 0.500)
Mn (0.500, 0.000, 0.500)
Pb (0.500, 0.500, 0.000)
O (0.248, 0.000, 0.753)
O (0.266, 0.500, 0.250)
O (0.734, 0.500, 0.750)
O (0.752, 0.000, 0.247)